Entry from OQMD via LeMat-Bulk: KTe3IrPd after structural relaxation (PBE).

Calculated values
Symmetry: P2_1/m, No. 11
Total DFT energy (no corrections) in eV per atom: -4.510
Crystal system: monoclinic

Lattice parameters (Å, degrees): 8.5437 4.1088 10.2943 90.00 110.43 90.00
Closest atoms and distances in Å follow each position.
Positions (direct):
K: 0.2346 0.2500 0.2837  7 Te 3.57-3.97, 3 Pd 3.82-3.99
K: 0.7654 0.7500 0.7163  7 Te 3.57-3.97, 3 Pd 3.82-3.99
Te: 0.1233 0.2500 0.8760  1 Pd 2.68, 2 Ir 2.72
Te: 0.2550 0.7500 0.5749  3 Pd 2.66-2.76, 1 Ir 2.69
Te: 0.4661 0.7500 0.1276  3 Ir 2.69-2.71
Te: 0.5339 0.2500 0.8724  3 Ir 2.69-2.71
Te: 0.7450 0.2500 0.4251  3 Pd 2.66-2.76, 1 Ir 2.69
Te: 0.8767 0.7500 0.1240  1 Pd 2.68, 2 Ir 2.72
Ir: 0.3191 0.7500 0.8497  6 Te 2.69-2.72
Ir: 0.6809 0.2500 0.1503  6 Te 2.69-2.72
Pd: 0.0723 0.2500 0.6036  4 Te 2.66-2.76, 2 Pd 2.91
Pd: 0.9277 0.7500 0.3964  4 Te 2.66-2.76, 2 Pd 2.91

---

Entry from OQMD via LeMat-Bulk: KPrIr after structural relaxation (PBE).

Calculated values
Symmetry: F-43m, No. 216
Energy relative to the lowest polymorph listed for this composition in eV/f.u.: 0.00
Crystal system: cubic

Lattice parameters (Å, degrees): 5.0134 5.0134 5.0134 60.00 60.00 60.00
Closest atoms and distances in Å follow each position.
Positions (direct):
K: 0.0000 0.0000 0.0000  4 Ir 3.07
Pr: 0.5000 0.5000 0.5000  4 Ir 3.07
Ir: 0.7500 0.7500 0.7500  4 K 3.07, 4 Pr 3.07

---

Entry from OQMD via LeMat-Bulk: K3Ir3Pt2 after structural relaxation (PBE).

Calculated values
Symmetry: R-3m, No. 166
Total DFT energy (no corrections) in eV per atom: -4.819
Crystal system: trigonal

Lattice parameters (Å, degrees): 7.9618 7.9618 7.9618 39.92 39.92 39.92
Closest atoms and distances in Å follow each position.
Positions (direct):
K: 0.0000 0.0000 0.0000  6 Pt 3.52, 6 K 3.57
K: 0.4107 0.4107 0.4107  4 Pt 3.14-3.30, 6 Ir 3.35
K: 0.5893 0.5893 0.5893  4 Pt 3.14-3.30, 6 Ir 3.35
Ir: 0.0000 0.0000 0.5000  2 Pt 2.59, 4 Ir 2.72
Ir: 0.0000 0.5000 0.0000  2 Pt 2.59, 4 Ir 2.72
Ir: 0.5000 0.0000 0.0000  2 Pt 2.59, 4 Ir 2.72
Pt: 0.2606 0.2606 0.2606  3 Ir 2.59
Pt: 0.7394 0.7394 0.7394  3 Ir 2.59

---

Entry from OQMD via LeMat-Bulk: KIrPt after structural relaxation (PBE).

Calculated values
Symmetry: F-43m, No. 216
Energy relative to the lowest polymorph listed for this composition in eV/f.u.: 0.00
Crystal system: cubic

Lattice parameters (Å, degrees): 4.5891 4.5891 4.5891 60.00 60.00 60.00
Closest atoms and distances in Å follow each position.
Positions (direct):
K: 0.0000 0.0000 0.0000  4 Ir 2.81
Ir: 0.2500 0.2500 0.2500  4 K 2.81, 4 Pt 2.81
Pt: 0.5000 0.5000 0.5000  4 Ir 2.81

---

Entry from OQMD via LeMat-Bulk: KIrPt after structural relaxation (PBE).

Calculated values
Symmetry: F-43m, No. 216
Energy relative to the lowest polymorph listed for this composition in eV/f.u.: 2.65
Crystal system: cubic

Lattice parameters (Å, degrees): 4.5993 4.5993 4.5993 60.00 60.00 60.00
Closest atoms and distances in Å follow each position.
Positions (direct):
K: 0.0000 0.0000 0.0000  4 Ir 2.82, 4 Pt 2.82
Ir: 0.7500 0.7500 0.7500  4 K 2.82
Pt: 0.2500 0.2500 0.2500  4 K 2.82

---

Entry from OQMD via LeMat-Bulk: KRbIr after structural relaxation (PBE).

Calculated values
Symmetry: F-43m, No. 216
Energy relative to the lowest polymorph listed for this composition in eV/f.u.: 0.00
Crystal system: cubic

Lattice parameters (Å, degrees): 5.5722 5.5722 5.5722 60.00 60.00 60.00
Closest atoms and distances in Å follow each position.
Positions (direct):
K: 0.0000 0.0000 0.0000  4 Ir 3.41
Rb: 0.5000 0.5000 0.5000  4 Ir 3.41
Ir: 0.2500 0.2500 0.2500  4 Rb 3.41, 4 K 3.41

---

Entry from OQMD via LeMat-Bulk: K2ReIrS6 after structural relaxation (PBE).

Calculated values
Symmetry: Fm-3m, No. 225
Total DFT energy (no corrections) in eV per atom: -4.968
Crystal system: cubic

Lattice parameters (Å, degrees): 6.7353 6.7353 6.7353 60.00 60.00 60.00
Closest atoms and distances in Å follow each position.
Positions (direct):
K: 0.2500 0.2500 0.2500  12 S 3.37
K: 0.7500 0.7500 0.7500  12 S 3.37
Re: 0.0000 0.0000 0.0000  6 S 2.36
Ir: 0.5000 0.5000 0.5000  6 S 2.40
S: 0.2480 0.2480 0.7520  1 Re 2.36, 1 Ir 2.40
S: 0.2480 0.7520 0.2480  1 Re 2.36, 1 Ir 2.40
S: 0.2480 0.7520 0.7520  1 Re 2.36, 1 Ir 2.40
S: 0.7520 0.2480 0.2480  1 Re 2.36, 1 Ir 2.40
S: 0.7520 0.2480 0.7520  1 Re 2.36, 1 Ir 2.40
S: 0.7520 0.7520 0.2480  1 Re 2.36, 1 Ir 2.40

---

Entry from OQMD via LeMat-Bulk: K2Ir2S5 after structural relaxation (PBE).

Calculated values
Symmetry: C2/c, No. 15
Total DFT energy (no corrections) in eV per atom: -5.091
Crystal system: monoclinic

Lattice parameters (Å, degrees): 6.6629 6.6629 11.2264 108.08 108.08 70.00
Closest atoms and distances in Å follow each position.
Positions (direct):
K: 0.0551 0.4042 0.3213  7 S 3.16-3.44
K: 0.4042 0.0551 0.8213  7 S 3.16-3.44
K: 0.5958 0.9449 0.1787  7 S 3.16-3.44
K: 0.9449 0.5958 0.6787  7 S 3.16-3.44
Ir: 0.2512 0.5713 0.0550  5 S 2.23-2.39
Ir: 0.4287 0.7488 0.4450  5 S 2.23-2.39
Ir: 0.5713 0.2512 0.5550  5 S 2.23-2.39
Ir: 0.7488 0.4287 0.9450  5 S 2.23-2.39
S: 0.1267 0.2768 0.0372  2 Ir 2.31-2.39
S: 0.2182 0.7818 0.2500  2 Ir 2.23
S: 0.2768 0.1267 0.5372  2 Ir 2.31-2.39
S: 0.3708 0.6258 0.8998  2 Ir 2.29-2.38
S: 0.3742 0.6292 0.6002  2 Ir 2.29-2.38
S: 0.6258 0.3708 0.3998  2 Ir 2.29-2.38
S: 0.6292 0.3742 0.1002  2 Ir 2.29-2.38
S: 0.7232 0.8733 0.4628  2 Ir 2.31-2.39
S: 0.7818 0.2182 0.7500  2 Ir 2.23
S: 0.8733 0.7232 0.9628  2 Ir 2.31-2.39

---

Entry from OQMD via LeMat-Bulk: KIr2S4 after structural relaxation (PBE).

Calculated values
Symmetry: Fd-3m, No. 227
Total DFT energy (no corrections) in eV per atom: -5.438
Crystal system: cubic

Lattice parameters (Å, degrees): 7.5696 7.5696 7.5696 60.00 60.00 60.00
Closest atoms and distances in Å follow each position.
Positions (direct):
K: 0.1250 0.1250 0.1250  4 S 2.83
K: 0.8750 0.8750 0.8750  4 S 2.83
Ir: 0.0000 0.5000 0.5000  6 S 2.42
Ir: 0.5000 0.0000 0.5000  6 S 2.42
Ir: 0.5000 0.5000 0.0000  6 S 2.42
Ir: 0.5000 0.5000 0.5000  6 S 2.42
S: 0.2774 0.2774 0.2774  3 Ir 2.42
S: 0.2774 0.2774 0.6679  3 Ir 2.42
S: 0.2774 0.6679 0.2774  3 Ir 2.42
S: 0.3321 0.7226 0.7226  3 Ir 2.42
S: 0.6679 0.2774 0.2774  3 Ir 2.42
S: 0.7226 0.3321 0.7226  3 Ir 2.42
S: 0.7226 0.7226 0.3321  3 Ir 2.42
S: 0.7226 0.7226 0.7226  3 Ir 2.42

---

Entry from OQMD via LeMat-Bulk: KZrIrS3 after structural relaxation (PBE).

Calculated values
Symmetry: P2_1/m, No. 11
Energy relative to the lowest polymorph listed for this composition in eV/f.u.: 0.00
Crystal system: monoclinic

Lattice parameters (Å, degrees): 8.2751 3.6677 9.8096 90.00 111.57 90.00
Closest atoms and distances in Å follow each position.
Positions (direct):
K: 0.2376 0.2500 0.2695  6 S 3.13-3.31
K: 0.7624 0.7500 0.7305  6 S 3.13-3.31
Zr: 0.3239 0.7500 0.8321  6 S 2.54-2.67
Zr: 0.6761 0.2500 0.1679  6 S 2.54-2.67
Ir: 0.1088 0.2500 0.5894  3 S 2.33-2.38
Ir: 0.8912 0.7500 0.4106  3 S 2.33-2.38
S: 0.1048 0.2500 0.8308  1 Ir 2.38, 2 Zr 2.58
S: 0.2648 0.7500 0.5586  2 Ir 2.33, 1 Zr 2.54
S: 0.4358 0.7500 0.1241  3 Zr 2.62-2.67
S: 0.5642 0.2500 0.8759  3 Zr 2.62-2.67
S: 0.7352 0.2500 0.4414  2 Ir 2.33, 1 Zr 2.54
S: 0.8952 0.7500 0.1692  1 Ir 2.38, 2 Zr 2.58

---

Entry from OQMD via LeMat-Bulk: KZrIrS3 after structural relaxation (PBE).

Calculated values
Symmetry: Cmcm, No. 63
Energy relative to the lowest polymorph listed for this composition in eV/f.u.: 0.24
Crystal system: orthorhombic

Lattice parameters (Å, degrees): 7.7554 7.7554 9.6895 90.00 90.00 153.22
Closest atoms and distances in Å follow each position.
Positions (direct):
K: 0.2486 0.7514 0.7500  6 S 3.19-3.21
K: 0.7514 0.2486 0.2500  6 S 3.19-3.21
Zr: 0.0000 0.0000 0.0000  6 S 2.65-2.67
Zr: 0.0000 0.0000 0.5000  6 S 2.65-2.67
Ir: 0.4785 0.5215 0.2500  4 S 2.31-2.38
Ir: 0.5215 0.4785 0.7500  4 S 2.31-2.38
S: 0.0751 0.9249 0.2500  2 Ir 2.31
S: 0.3772 0.6228 0.0612  1 Ir 2.38, 2 Zr 2.65
S: 0.3772 0.6228 0.4388  1 Ir 2.38, 2 Zr 2.65
S: 0.6228 0.3772 0.5612  1 Ir 2.38, 2 Zr 2.65
S: 0.6228 0.3772 0.9388  1 Ir 2.38, 2 Zr 2.65
S: 0.9249 0.0751 0.7500  2 Ir 2.31

---

Entry from OQMD via LeMat-Bulk: KSb5Ir3 after structural relaxation (PBE).

Calculated values
Symmetry: P6/mmm, No. 191
Total DFT energy (no corrections) in eV per atom: -5.464
Crystal system: hexagonal

Lattice parameters (Å, degrees): 5.7398 5.7398 8.9173 90.00 90.00 120.00
Closest atoms and distances in Å follow each position.
Positions (direct):
K: 0.0000 0.0000 0.0000  14 Sb 4.03-4.46
Sb: 0.0000 0.0000 0.5000  6 Ir 2.87
Sb: 0.3333 0.6667 0.2576  3 Ir 2.72
Sb: 0.3333 0.6667 0.7424  3 Ir 2.72
Sb: 0.6667 0.3333 0.2576  3 Ir 2.72
Sb: 0.6667 0.3333 0.7424  3 Ir 2.72
Ir: 0.0000 0.5000 0.5000  6 Sb 2.72-2.87, 4 Ir 2.87
Ir: 0.5000 0.0000 0.5000  6 Sb 2.72-2.87, 4 Ir 2.87
Ir: 0.5000 0.5000 0.5000  6 Sb 2.72-2.87, 4 Ir 2.87

---

Entry from OQMD via LeMat-Bulk: K5Sb2Ir after structural relaxation (PBE).

Calculated values
Symmetry: R-3m, No. 166
Total DFT energy (no corrections) in eV per atom: -3.017
Crystal system: trigonal

Lattice parameters (Å, degrees): 10.0751 10.0751 10.0751 34.40 34.40 34.40
Closest atoms and distances in Å follow each position.
Positions (direct):
K: 0.0000 0.0000 0.0000  8 K 3.78-4.02, 6 Sb 4.08
K: 0.1416 0.1416 0.1416  3 Ir 3.51, 4 K 3.72-3.88, 3 Sb 3.90
K: 0.2781 0.2781 0.2781  4 Sb 3.49-3.75, 4 K 3.78-3.88
K: 0.7219 0.7219 0.7219  4 Sb 3.49-3.75, 4 K 3.78-3.88
K: 0.8584 0.8584 0.8584  3 Ir 3.51, 4 K 3.72-3.88, 3 Sb 3.90
Sb: 0.4103 0.4103 0.4103  1 Ir 2.55
Sb: 0.5897 0.5897 0.5897  1 Ir 2.55
Ir: 0.5000 0.5000 0.5000  2 Sb 2.55

---

Entry from OQMD via LeMat-Bulk: KIr3Se5 after structural relaxation (PBE).

Calculated values
Symmetry: P6/mmm, No. 191
Total DFT energy (no corrections) in eV per atom: -5.187
Crystal system: hexagonal

Lattice parameters (Å, degrees): 5.9100 5.9100 7.2208 90.00 90.00 120.00
Closest atoms and distances in Å follow each position.
Positions (direct):
K: 0.0000 0.0000 0.0000  14 Se 3.61-3.86
Ir: 0.0000 0.5000 0.5000  4 Se 2.49
Ir: 0.5000 0.0000 0.5000  4 Se 2.49
Ir: 0.5000 0.5000 0.5000  4 Se 2.49
Se: 0.0000 0.0000 0.5000  6 Ir 2.95
Se: 0.3333 0.6667 0.2488  3 Ir 2.49
Se: 0.3333 0.6667 0.7512  3 Ir 2.49
Se: 0.6667 0.3333 0.2488  3 Ir 2.49
Se: 0.6667 0.3333 0.7512  3 Ir 2.49

---

Entry from OQMD via LeMat-Bulk: K2IrSe3 after structural relaxation (PBE).

Calculated values
Symmetry: P-1, No. 2
Total DFT energy (no corrections) in eV per atom: -4.158
Crystal system: triclinic

Lattice parameters (Å, degrees): 6.7269 7.5318 9.0377 71.64 71.88 64.30
Closest atoms and distances in Å follow each position.
Positions (direct):
K: 0.1301 0.1858 0.1109  5 Se 3.34-3.43
K: 0.3402 0.5399 0.3156  7 Se 3.35-3.73
K: 0.6598 0.4601 0.6844  7 Se 3.35-3.73
K: 0.8699 0.8142 0.8891  5 Se 3.34-3.43
Ir: 0.3590 0.0637 0.6922  4 Se 2.37-2.41
Ir: 0.6410 0.9363 0.3078  4 Se 2.37-2.41
Se: 0.1749 0.4050 0.7155  1 Ir 2.37
Se: 0.3073 0.9294 0.5037  2 Ir 2.40-2.41
Se: 0.3619 0.7968 0.9179  1 Ir 2.37
Se: 0.6381 0.2032 0.0821  1 Ir 2.37
Se: 0.6927 0.0706 0.4963  2 Ir 2.40-2.41
Se: 0.8251 0.5950 0.2845  1 Ir 2.37

---

Entry from OQMD via LeMat-Bulk: KYIrSe3 after structural relaxation (PBE).

Calculated values
Symmetry: Pnma, No. 62
Total DFT energy (no corrections) in eV per atom: -5.517
Crystal system: orthorhombic

Lattice parameters (Å, degrees): 10.2887 3.9891 15.8734 90.00 90.00 90.00
Closest atoms and distances in Å follow each position.
Positions (direct):
K: 0.2248 0.2500 0.0038  6 Se 3.31-3.33
K: 0.2752 0.7500 0.5038  6 Se 3.31-3.33
K: 0.7248 0.2500 0.4962  6 Se 3.31-3.33
K: 0.7752 0.7500 0.9962  6 Se 3.31-3.33
Y: 0.0172 0.7500 0.7448  6 Se 2.86-2.96
Y: 0.4828 0.2500 0.2448  6 Se 2.86-2.96
Y: 0.5172 0.7500 0.7552  6 Se 2.86-2.96
Y: 0.9828 0.2500 0.2552  6 Se 2.86-2.96
Ir: 0.2365 0.7500 0.2458  4 Se 2.47-2.49
Ir: 0.2635 0.2500 0.7458  4 Se 2.47-2.49
Ir: 0.7365 0.7500 0.2542  4 Se 2.47-2.49
Ir: 0.7635 0.2500 0.7542  4 Se 2.47-2.49
Se: 0.0652 0.7500 0.1364  1 Ir 2.47
Se: 0.1042 0.2500 0.6283  1 Ir 2.48
Se: 0.2345 0.2500 0.3393  2 Ir 2.49
Se: 0.2655 0.7500 0.8393  2 Ir 2.49
Se: 0.3958 0.7500 0.1283  1 Ir 2.48
Se: 0.4348 0.2500 0.6364  1 Ir 2.47
Se: 0.5652 0.7500 0.3636  1 Ir 2.47
Se: 0.6042 0.2500 0.8717  1 Ir 2.48
Se: 0.7345 0.2500 0.1607  2 Ir 2.49
Se: 0.7655 0.7500 0.6607  2 Ir 2.49
Se: 0.8958 0.7500 0.3717  1 Ir 2.48
Se: 0.9348 0.2500 0.8636  1 Ir 2.47

---

Entry from OQMD via LeMat-Bulk: KYIrSe3 after structural relaxation (PBE).

Calculated values
Symmetry: Cmcm, No. 63
Total DFT energy (no corrections) in eV per atom: -5.518
Crystal system: orthorhombic

Lattice parameters (Å, degrees): 8.2350 8.2350 10.2791 90.00 90.00 151.99
Closest atoms and distances in Å follow each position.
Positions (direct):
K: 0.2450 0.7550 0.7500  6 Se 3.30-3.32
K: 0.7550 0.2450 0.2500  6 Se 3.30-3.32
Y: 0.0000 0.0000 0.0000  6 Se 2.87-2.95
Y: 0.0000 0.0000 0.5000  6 Se 2.87-2.95
Ir: 0.4972 0.5028 0.2500  4 Se 2.48-2.49
Ir: 0.5028 0.4972 0.7500  4 Se 2.48-2.49
Se: 0.0902 0.9098 0.2500  2 Ir 2.49
Se: 0.3834 0.6166 0.0860  1 Ir 2.48
Se: 0.3834 0.6166 0.4140  1 Ir 2.48
Se: 0.6166 0.3834 0.5860  1 Ir 2.48
Se: 0.6166 0.3834 0.9140  1 Ir 2.48
Se: 0.9098 0.0902 0.7500  2 Ir 2.49

---

Entry from OQMD via LeMat-Bulk: KSiIr after structural relaxation (PBE).

Calculated values
Symmetry: F-43m, No. 216
Energy relative to the lowest polymorph listed for this composition in eV/f.u.: 3.52
Crystal system: cubic

Lattice parameters (Å, degrees): 4.6786 4.6786 4.6786 60.00 60.00 60.00
Closest atoms and distances in Å follow each position.
Positions (direct):
K: 0.0000 0.0000 0.0000  4 Ir 2.87, 4 Si 2.87
Si: 0.2500 0.2500 0.2500  4 K 2.87
Ir: 0.7500 0.7500 0.7500  4 K 2.87

---

Entry from OQMD via LeMat-Bulk: KSiIr after structural relaxation (PBE).

Calculated values
Symmetry: F-43m, No. 216
Energy relative to the lowest polymorph listed for this composition in eV/f.u.: 0.00
Crystal system: cubic

Lattice parameters (Å, degrees): 4.5003 4.5003 4.5003 60.00 60.00 60.00
Closest atoms and distances in Å follow each position.
Positions (direct):
K: 0.0000 0.0000 0.0000  4 Ir 2.76
Si: 0.5000 0.5000 0.5000  4 Ir 2.76
Ir: 0.2500 0.2500 0.2500  4 K 2.76, 4 Si 2.76

---

Entry from OQMD via LeMat-Bulk: KSmIr after structural relaxation (PBE).

Calculated values
Symmetry: F-43m, No. 216
Energy relative to the lowest polymorph listed for this composition in eV/f.u.: 0.00
Crystal system: cubic

Lattice parameters (Å, degrees): 4.9597 4.9597 4.9597 60.00 60.00 60.00
Closest atoms and distances in Å follow each position.
Positions (direct):
K: 0.0000 0.0000 0.0000  4 Ir 3.04
Sm: 0.5000 0.5000 0.5000  4 Ir 3.04
Ir: 0.7500 0.7500 0.7500  4 K 3.04, 4 Sm 3.04